No. 1
! Na14Hg2S9 PBE optimized geometry; values from VASP
&SYSTEM
  ibrav = 0, nat = 25, ntyp = 3
/
ATOMIC_SPECIES
Na 22.99 Na.upf
Hg 200.59 Hg.upf
S 32.06 S.upf
CELL_PARAMETERS angstrom
8.018 0.000 0.000
-4.009 6.943 0.000
0.000 0.000 11.163
ATOMIC_POSITIONS crystal
Na 0.000 0.000 0.249
Na 0.000 0.000 0.751
Na 0.021 0.673 0.409
Na 0.047 0.371 0.094
Na 0.324 0.953 0.094
Na 0.327 0.348 0.409
Na 0.348 0.021 0.591
Na 0.371 0.324 0.906
Na 0.629 0.676 0.094
Na 0.652 0.979 0.409
Na 0.673 0.652 0.591
Na 0.676 0.047 0.906
Na 0.953 0.629 0.906
Na 0.979 0.327 0.591
Hg 0.333 0.667 0.756
Hg 0.667 0.333 0.244
S 0.000 0.000 0.500
S 0.039 0.345 0.840
S 0.305 0.961 0.840
S 0.333 0.667 0.521
S 0.345 0.305 0.160
S 0.655 0.695 0.840
S 0.667 0.333 0.479
S 0.695 0.039 0.160
S 0.961 0.655 0.160
! Raw total energy in eV per atom: -3.189
! Formation energy without anion corrections in meV per atom: -941

---

No. 2
! Na3HgS2 PBE optimized geometry; values from VASP
&SYSTEM
  ibrav = 0, nat = 12, ntyp = 3
/
ATOMIC_SPECIES
Na 22.99 Na.upf
Hg 200.59 Hg.upf
S 32.06 S.upf
CELL_PARAMETERS angstrom
-3.365 6.625 3.443
3.365 -6.625 3.443
3.365 6.625 -3.443
ATOMIC_POSITIONS crystal
Na 0.020 0.750 0.270
Na 0.250 0.250 0.000
Na 0.480 0.750 0.730
Na 0.520 0.250 0.270
Na 0.750 0.750 0.000
Na 0.980 0.250 0.730
Hg 0.000 0.500 0.500
Hg 0.500 0.000 0.500
S 0.139 0.208 0.348
S 0.361 0.708 0.069
S 0.639 0.292 0.931
S 0.861 0.792 0.652
! Raw total energy in eV per atom: -2.806
! Formation energy without anion corrections in meV per atom: -720

---

No. 3
! Na12Hg3S5 PBE optimized geometry; values from VASP
&SYSTEM
  ibrav = 0, nat = 80, ntyp = 3
/
ATOMIC_SPECIES
Na 22.99 Na.upf
Hg 200.59 Hg.upf
S 32.06 S.upf
CELL_PARAMETERS angstrom
-8.709 8.709 8.709
8.709 -8.709 8.709
8.709 8.709 -8.709
ATOMIC_POSITIONS crystal
Na 0.015 0.191 0.107
Na 0.015 0.324 0.908
Na 0.084 0.691 0.676
Na 0.084 0.893 0.408
Na 0.092 0.607 0.416
Na 0.092 0.985 0.676
Na 0.107 0.015 0.191
Na 0.107 0.592 0.916
Na 0.176 0.191 0.584
Na 0.176 0.485 0.592
Na 0.191 0.107 0.015
Na 0.191 0.584 0.176
Na 0.309 0.324 0.916
Na 0.309 0.485 0.393
Na 0.324 0.908 0.015
Na 0.324 0.916 0.309
Na 0.393 0.309 0.485
Na 0.393 0.584 0.908
Na 0.408 0.084 0.893
Na 0.408 0.824 0.515
Na 0.416 0.092 0.607
Na 0.416 0.824 0.809
Na 0.485 0.393 0.309
Na 0.485 0.592 0.176
Na 0.515 0.408 0.824
Na 0.515 0.607 0.691
Na 0.584 0.176 0.191
Na 0.584 0.908 0.393
Na 0.592 0.176 0.485
Na 0.592 0.916 0.107
Na 0.607 0.416 0.092
Na 0.607 0.691 0.515
Na 0.676 0.084 0.691
Na 0.676 0.092 0.985
Na 0.691 0.515 0.607
Na 0.691 0.676 0.084
Na 0.809 0.416 0.824
Na 0.809 0.893 0.985
Na 0.824 0.515 0.408
Na 0.824 0.809 0.416
Na 0.893 0.408 0.084
Na 0.893 0.985 0.809
Na 0.908 0.015 0.324
Na 0.908 0.393 0.584
Na 0.916 0.107 0.592
Na 0.916 0.309 0.324
Na 0.985 0.676 0.092
Na 0.985 0.809 0.893
Hg 0.125 0.250 0.375
Hg 0.125 0.375 0.750
Hg 0.250 0.375 0.125
Hg 0.250 0.875 0.625
Hg 0.375 0.125 0.250
Hg 0.375 0.750 0.125
Hg 0.625 0.250 0.875
Hg 0.625 0.875 0.750
Hg 0.750 0.125 0.375
Hg 0.750 0.625 0.875
Hg 0.875 0.625 0.250
Hg 0.875 0.750 0.625
S 0.000 0.000 0.000
S 0.000 0.000 0.500
S 0.000 0.500 0.000
S 0.000 0.500 0.500
S 0.125 0.750 0.875
S 0.125 0.875 0.250
S 0.250 0.125 0.875
S 0.250 0.625 0.375
S 0.375 0.250 0.625
S 0.375 0.625 0.750
S 0.500 0.000 0.000
S 0.500 0.000 0.500
S 0.500 0.500 0.000
S 0.500 0.500 0.500
S 0.625 0.375 0.250
S 0.625 0.750 0.375
S 0.750 0.375 0.625
S 0.750 0.875 0.125
S 0.875 0.125 0.750
S 0.875 0.250 0.125
! Raw total energy in eV per atom: -2.482
! Formation energy without anion corrections in meV per atom: -613